Record 1
Computed, not measured: an optimized crystal structure of K2NaCa at the PBE level of DFT.

Unit cell a=14.172 b=14.172 c=14.172 alpha=16.94 beta=16.94 gamma=16.94
Fractional positions:
1 K 0.000 0.000 0.000
2 K 0.171 0.171 0.171
3 Na 0.586 0.586 0.586
4 Ca 0.752 0.752 0.752

Its crystal system is trigonal. The calculation puts the total energy at -1.267 eV/atom. The calculation puts the density of states at the Fermi level at 4.13 states/eV/f.u.


Record 2
Computed, not measured: an optimized crystal structure of KNa14Ca at the PBE level of DFT.

Unit cell a=7.741 b=7.741 c=10.431 alpha=90.00 beta=90.00 gamma=90.19
Fractional positions:
1 K 0.000 0.000 0.000
2 Na 0.000 0.000 0.500
3 Na 0.000 0.500 0.000
4 Na 0.000 0.500 0.500
5 Na 0.258 0.258 0.263
6 Na 0.258 0.258 0.737
7 Na 0.258 0.742 0.263
8 Na 0.258 0.742 0.737
9 Na 0.500 0.000 0.000
10 Na 0.500 0.000 0.500
11 Na 0.500 0.500 0.500
12 Na 0.742 0.258 0.263
13 Na 0.742 0.258 0.737
14 Na 0.742 0.742 0.263
15 Na 0.742 0.742 0.737
16 Ca 0.500 0.500 0.000

Its crystal system is orthorhombic. The calculation puts the total energy at -1.316 eV/atom. The calculation puts the density of states at the Fermi level at 9.42 states/eV/f.u.


Record 3
Computed, not measured: an optimized crystal structure of K2NaCa at the PBE level of DFT.

Unit cell a=4.120 b=4.120 c=12.553 alpha=90.00 beta=90.00 gamma=90.00
Fractional positions:
1 K 0.000 0.000 0.240
2 K 0.000 0.000 0.760
3 Na 0.500 0.500 0.000
4 Ca 0.500 0.500 0.500

Its crystal system is tetragonal. The calculation puts the total energy at -1.260 eV/atom. The calculation puts the density of states at the Fermi level at 3.54 states/eV/f.u.


Record 4
Computed, not measured: an optimized crystal structure of K2Na2Ca at the PBE level of DFT.

Unit cell a=13.528 b=13.528 c=13.528 alpha=160.82 beta=160.82 gamma=27.25
Fractional positions:
1 K 0.114 0.114 0.000
2 K 0.886 0.886 0.000
3 Na 0.250 0.750 0.500
4 Na 0.750 0.250 0.500
5 Ca 0.500 0.500 0.000

Its crystal system is tetragonal. As for the excess energy over the best structure of this formula in the dataset: 40 meV/atom. The calculation puts the density of states at the Fermi level at 3.82 states/eV/f.u.


Record 5
Computed, not measured: an optimized crystal structure of KNa6Ca at the PBE level of DFT.

Unit cell a=6.283 b=7.769 c=7.769 alpha=60.12 beta=90.00 gamma=90.00
Fractional positions:
1 K 0.000 0.000 0.000
2 Na 0.000 0.004 0.499
3 Na 0.000 0.499 0.004
4 Na 0.000 0.502 0.502
5 Na 0.500 0.177 0.177
6 Na 0.500 0.179 0.649
7 Na 0.500 0.649 0.179
8 Ca 0.500 0.670 0.670

Its crystal system is orthorhombic. The calculation puts the total energy at -1.326 eV/atom. The calculation puts the density of states at the Fermi level at 4.72 states/eV/f.u.


Record 6
Computed, not measured: an optimized crystal structure of KNaCa2 at the PBE level of DFT.

Unit cell a=14.570 b=14.570 c=14.570 alpha=159.25 beta=159.25 gamma=29.50
Fractional positions:
1 K 0.000 0.000 0.000
2 K 0.750 0.250 0.500
3 Na 0.250 0.750 0.500
4 Na 0.500 0.500 0.000
5 Ca 0.132 0.625 0.007
6 Ca 0.375 0.382 0.507
7 Ca 0.618 0.125 0.993
8 Ca 0.875 0.868 0.493

Its crystal system is tetragonal. The calculation puts the total energy at -1.342 eV/atom. The calculation puts the density of states at the Fermi level at 5.35 states/eV/f.u.


Record 7
Computed, not measured: an optimized crystal structure of KNaCa3 at the PBE level of DFT.

Unit cell a=6.714 b=6.714 c=6.714 alpha=90.00 beta=90.00 gamma=90.00
Fractional positions:
1 K 0.000 0.000 0.000
2 Na 0.500 0.500 0.500
3 Ca 0.000 0.000 0.500
4 Ca 0.000 0.500 0.000
5 Ca 0.500 0.000 0.000

Its crystal system is cubic. As for the excess energy over the best structure of this formula in the dataset: 393 meV/atom. The calculation puts the density of states at the Fermi level at 6.43 states/eV/f.u.


Record 8
Computed, not measured: an optimized crystal structure of KNaCa2 at the PBE level of DFT.

Unit cell a=13.637 b=13.637 c=13.637 alpha=16.85 beta=16.85 gamma=16.85
Fractional positions:
1 K 0.000 0.000 0.000
2 Na 0.833 0.833 0.833
3 Ca 0.243 0.243 0.243
4 Ca 0.424 0.424 0.424

Its crystal system is trigonal. The calculation puts the total energy at -1.474 eV/atom. The calculation puts the density of states at the Fermi level at 3.98 states/eV/f.u.


Record 9
Computed, not measured: an optimized crystal structure of KNaCa3 at the PBE level of DFT.

Unit cell a=6.437 b=6.437 c=6.437 alpha=90.00 beta=90.00 gamma=90.00
Fractional positions:
1 K 0.000 0.000 0.000
2 Na 0.500 0.500 0.500
3 Ca 0.000 0.500 0.500
4 Ca 0.500 0.000 0.500
5 Ca 0.500 0.500 0.000

Its crystal system is cubic. As for the excess energy over the best structure of this formula in the dataset: 0 meV/atom. The calculation puts the density of states at the Fermi level at 4.93 states/eV/f.u.


Record 10
Computed, not measured: an optimized crystal structure of KNa5Ca at the PBE level of DFT.

Unit cell a=6.565 b=6.565 c=7.552 alpha=90.00 beta=90.00 gamma=90.00
Fractional positions:
1 K 0.000 0.000 0.000
2 Na 0.000 0.500 0.263
3 Na 0.000 0.500 0.737
4 Na 0.500 0.000 0.263
5 Na 0.500 0.000 0.737
6 Na 0.500 0.500 0.000
7 Ca 0.500 0.500 0.500

Its crystal system is tetragonal. The calculation puts the total energy at -1.241 eV/atom. The calculation puts the density of states at the Fermi level at 5.16 states/eV/f.u.


Record 11
Computed, not measured: an optimized crystal structure of K2Na2Ca at the PBE level of DFT.

Unit cell a=10.977 b=10.977 c=4.122 alpha=90.00 beta=90.00 gamma=90.00
Fractional positions:
1 K 0.133 0.367 0.000
2 K 0.367 0.867 0.000
3 K 0.633 0.133 0.000
4 K 0.867 0.633 0.000
5 Na 0.171 0.671 0.500
6 Na 0.329 0.171 0.500
7 Na 0.671 0.829 0.500
8 Na 0.829 0.329 0.500
9 Ca 0.000 0.000 0.000
10 Ca 0.500 0.500 0.000

Its crystal system is tetragonal. As for the excess energy over the best structure of this formula in the dataset: 28 meV/atom. The calculation puts the density of states at the Fermi level at 3.69 states/eV/f.u.


Record 12
Computed, not measured: an optimized crystal structure of KNaCa2 at the PBE level of DFT.

Unit cell a=14.316 b=14.316 c=14.316 alpha=15.81 beta=15.81 gamma=15.81
Fractional positions:
1 K 0.000 0.000 0.000
2 Na 0.500 0.500 0.500
3 Ca 0.094 0.094 0.094
4 Ca 0.906 0.906 0.906

Its crystal system is trigonal. The calculation puts the total energy at -1.434 eV/atom. The calculation puts the density of states at the Fermi level at 3.85 states/eV/f.u.


Record 13
Computed, not measured: an optimized crystal structure of K4Na5Ca at the PBE level of DFT.

Unit cell a=4.315 b=4.315 c=26.814 alpha=90.00 beta=90.00 gamma=90.00
Fractional positions:
1 K 0.000 0.000 0.105
2 K 0.000 0.000 0.316
3 K 0.000 0.000 0.684
4 K 0.000 0.000 0.895
5 Na 0.500 0.500 0.000
6 Na 0.500 0.500 0.211
7 Na 0.500 0.500 0.418
8 Na 0.500 0.500 0.582
9 Na 0.500 0.500 0.789
10 Ca 0.000 0.000 0.500

Its crystal system is tetragonal. The calculation puts the total energy at -1.255 eV/atom. The calculation puts the density of states at the Fermi level at 6.83 states/eV/f.u.


Record 14
Computed, not measured: an optimized crystal structure of K2NaCa at the PBE level of DFT.

Unit cell a=5.752 b=5.752 c=6.441 alpha=90.00 beta=90.00 gamma=90.00
Fractional positions:
1 K 0.000 0.500 0.000
2 K 0.500 0.000 0.000
3 Na 0.000 0.000 0.500
4 Ca 0.500 0.500 0.500

Its crystal system is tetragonal. The calculation puts the total energy at -1.232 eV/atom. The calculation puts the density of states at the Fermi level at 3.21 states/eV/f.u.


Record 15
Computed, not measured: an optimized crystal structure of K2Na16Ca at the PBE level of DFT.

Unit cell a=9.344 b=9.344 c=9.344 alpha=81.73 beta=81.73 gamma=81.73
Fractional positions:
1 K 0.000 0.000 0.000
2 K 0.324 0.324 0.324
3 Na 0.013 0.013 0.508
4 Na 0.013 0.508 0.013
5 Na 0.157 0.661 0.661
6 Na 0.311 0.311 0.807
7 Na 0.311 0.807 0.311
8 Na 0.366 0.660 0.953
9 Na 0.366 0.953 0.660
10 Na 0.508 0.013 0.013
11 Na 0.660 0.366 0.953
12 Na 0.660 0.953 0.366
13 Na 0.661 0.157 0.661
14 Na 0.661 0.661 0.157
15 Na 0.765 0.765 0.765
16 Na 0.807 0.311 0.311
17 Na 0.953 0.366 0.660
18 Na 0.953 0.660 0.366
19 Ca 0.567 0.567 0.567

Its crystal system is trigonal. The calculation puts the total energy at -1.299 eV/atom. The calculation puts the density of states at the Fermi level at 9.51 states/eV/f.u.


Record 16
Computed, not measured: an optimized crystal structure of KNaCa2 at the PBE level of DFT.

Unit cell a=3.946 b=3.946 c=11.826 alpha=90.00 beta=90.00 gamma=90.00
Fractional positions:
1 K 0.000 0.000 0.000
2 Na 0.000 0.000 0.500
3 Ca 0.500 0.500 0.288
4 Ca 0.500 0.500 0.712

Its crystal system is tetragonal. The calculation puts the total energy at -1.466 eV/atom. The calculation puts the density of states at the Fermi level at 3.34 states/eV/f.u.


Record 17
Computed, not measured: an optimized crystal structure of K2Na2Ca at the PBE level of DFT.

Unit cell a=10.672 b=10.672 c=4.395 alpha=90.00 beta=90.00 gamma=90.00
Fractional positions:
1 K 0.174 0.326 0.000
2 K 0.326 0.826 0.000
3 K 0.674 0.174 0.000
4 K 0.826 0.674 0.000
5 Na 0.125 0.625 0.500
6 Na 0.375 0.125 0.500
7 Na 0.625 0.875 0.500
8 Na 0.875 0.375 0.500
9 Ca 0.000 0.000 0.500
10 Ca 0.500 0.500 0.500

Its crystal system is tetragonal. As for the excess energy over the best structure of this formula in the dataset: 0 meV/atom. The calculation puts the density of states at the Fermi level at 4.36 states/eV/f.u.


Record 18
Computed, not measured: an optimized crystal structure of KNa9Ca2 at the PBE level of DFT.

Unit cell a=12.200 b=12.200 c=12.200 alpha=33.26 beta=33.26 gamma=33.26
Fractional positions:
1 K 0.000 0.000 0.000
2 Na 0.081 0.591 0.591
3 Na 0.334 0.334 0.334
4 Na 0.409 0.409 0.919
5 Na 0.409 0.919 0.409
6 Na 0.500 0.500 0.500
7 Na 0.591 0.081 0.591
8 Na 0.591 0.591 0.081
9 Na 0.666 0.666 0.666
10 Na 0.919 0.409 0.409
11 Ca 0.148 0.148 0.148
12 Ca 0.852 0.852 0.852

Its crystal system is trigonal. The calculation puts the total energy at -1.364 eV/atom. The calculation puts the density of states at the Fermi level at 7.71 states/eV/f.u.


Record 19
Computed, not measured: an optimized crystal structure of K2NaCa at the PBE level of DFT.

Unit cell a=14.913 b=14.913 c=14.913 alpha=15.79 beta=15.79 gamma=15.79
Fractional positions:
1 K 0.090 0.090 0.090
2 K 0.910 0.910 0.910
3 Na 0.500 0.500 0.500
4 Ca 0.000 0.000 0.000

Its crystal system is trigonal. The calculation puts the total energy at -1.214 eV/atom. The calculation puts the density of states at the Fermi level at 4.26 states/eV/f.u.


Record 20
Computed, not measured: an optimized crystal structure of KNaCa2P at the PBE level of DFT.

Unit cell a=5.630 b=5.630 c=6.071 alpha=90.00 beta=90.00 gamma=90.00
Fractional positions:
1 K 0.000 0.000 0.000
2 Na 0.500 0.500 0.000
3 Ca 0.000 0.500 0.500
4 Ca 0.500 0.000 0.500
5 P 0.500 0.500 0.500

Its crystal system is tetragonal. As for the excess energy over the best structure of this formula in the dataset: 46 meV/atom. The calculation puts the density of states at the Fermi level at 3.31 states/eV/f.u.


| no. | magnetic moment (μB/f.u.) | V (Å³ per cell) |
| --- | --- | --- |
| 1 | 0.00 | 210.9 |
| 2 | 0.00 | 625.0 |
| 3 | 0.00 | 213.1 |
| 4 | 0.00 | 267.0 |
| 5 | 0.00 | 328.8 |
| 6 | 0.00 | 387.8 |
| 7 | 0.00 | 302.7 |
| 8 | 0.00 | 185.8 |
| 9 | 0.00 | 266.7 |
| 10 | 0.00 | 325.5 |
| 11 | 0.00 | 496.7 |
| 12 | 0.00 | 189.8 |
| 13 | 0.00 | 499.2 |
| 14 | 0.00 | 213.1 |
| 15 | 0.00 | 792.7 |
| 16 | 0.00 | 184.1 |
| 17 | 0.00 | 500.6 |
| 18 | 0.00 | 486.2 |
| 19 | 0.00 | 214.1 |
| 20 | 0.51 | 192.4 |